[1]
Entry from Alexandria: an optimized crystal structure of Si2AsPt (PBE-GGA).

Summary:
E_tot ... -5.229 eV/atom
Calculated volume ... 16.6 Å³/atom
Symmetry ... Imm2, No. 44

Cell lengths 5.744, 5.744, 5.744 Å; angles 152.18, 131.04, 57.24 degrees
Sites, in units of the cell vectors:
1 As 0.466 0.466 0.000
2 Pt 0.226 0.726 0.500
3 Si 0.019 0.019 0.000
4 Si 0.789 0.289 0.500



[2]
Entry from Alexandria: an optimized crystal structure of RbZnN2O (PBE-GGA).

Summary:
E_tot ... -2.580 eV/atom
Calculated volume ... 35.6 Å³/atom
Symmetry ... P4/mmm, No. 123

Cell lengths 5.893, 5.893, 5.118 Å; angles 90.00, 90.00, 90.00 degrees
Sites, in units of the cell vectors:
1 Zn 0.500 0.500 0.500
2 O 0.000 0.000 0.500
3 Rb 0.000 0.000 0.000
4 N 0.000 0.500 0.000
5 N 0.500 0.000 0.000



[3]
Entry from Alexandria: an optimized crystal structure of ReSbBr2 (PBE-GGA).

Summary:
E_tot ... -4.332 eV/atom
Calculated volume ... 26.6 Å³/atom
Symmetry ... Cmmm, No. 65

Cell lengths 3.317, 3.317, 11.815 Å; angles 90.00, 90.00, 125.02 degrees
Sites, in units of the cell vectors:
1 Re 0.500 0.500 0.250
2 Br 0.000 0.000 0.079
3 Br 0.000 0.000 0.421
4 Sb 0.500 0.500 0.750